The following is a PBE+U calculation of a relaxed V2FePtO crystal, from the Alexandria database.

Structure (CIF):
```
data_V2FePtO
_chemical_formula_sum 'V2 Fe1 Pt1 O1'
_cell_length_a 4.999
_cell_length_b 4.999
_cell_length_c 3.473
_cell_angle_alpha 90.00
_cell_angle_beta 90.00
_cell_angle_gamma 90.00
_space_group_name_H-M_alt 'P 1'
_space_group_IT_number 1
loop_
_space_group_symop_operation_xyz
'x,y,z'
loop_
_atom_site_label
_atom_site_type_symbol
_atom_site_fract_x
_atom_site_fract_y
_atom_site_fract_z
_atom_site_occupancy
V1 V 0.000 0.500 0.000 1
V2 V 0.500 0.000 0.000 1
Fe1 Fe 0.000 0.000 0.000 1
Pt1 Pt 0.500 0.500 0.500 1
O1 O 0.000 0.000 0.500 1
```

Calculated values
- VASP energy (eV per atom) = -5.60
- DOS(E_F) (states/eV per cell) = 3.61